The following is a PBE-GGA calculation of a geometry-optimized LiNd2Pd2 structure, from the Alexandria database.

Computed properties:
Space-group type ... No. 127
Formation enthalpy at 0 K ... -0.62 eV/atom
Total magnetization ... 0.0 Bohr magnetons per cell
Calculated total energy ... -49.90 eV per cell
Crystal system ... tetragonal

abc: 3.933 7.816 7.816
angles: 90.00 90.00 90.00
Atoms (fractional coordinates):
Pd (0.000, 0.868, 0.632)
Pd (0.000, 0.632, 0.132)
Pd (0.000, 0.132, 0.368)
Pd (0.000, 0.368, 0.868)
Li (0.000, 0.000, 0.000)
Li (0.000, 0.500, 0.500)
Nd (0.500, 0.668, 0.832)
Nd (0.500, 0.332, 0.168)
Nd (0.500, 0.168, 0.668)
Nd (0.500, 0.832, 0.332)


The following is a PBE-GGA calculation of a geometry-optimized La3MnAg structure, from the Alexandria database.

Computed properties:
Space-group type ... No. 221
Formation enthalpy at 0 K ... 0.08 eV/atom
Total magnetization ... 0.0 Bohr magnetons per cell
Calculated total energy ... -26.38 eV per cell
Crystal system ... cubic

abc: 5.257 5.257 5.257
angles: 90.00 90.00 90.00
Atoms (fractional coordinates):
La (0.000, 0.500, 0.000)
La (0.000, 0.000, 0.500)
La (0.500, 0.000, 0.000)
Ag (0.500, 0.500, 0.500)
Mn (0.000, 0.000, 0.000)


The following is a PBE-GGA calculation of a geometry-optimized Sr2MgZn2 structure, from the Alexandria database.

Computed properties:
Space-group type ... No. 127
E above lowest polymorph ... 34 meV/atom
Formation enthalpy at 0 K ... -0.15 eV/atom
Total magnetization ... 0.0 Bohr magnetons per cell
Calculated total energy ... -16.52 eV per cell
Crystal system ... tetragonal

abc: 8.260 8.260 4.397
angles: 90.00 90.00 90.00
Atoms (fractional coordinates):
Zn (0.886, 0.614, 0.000)
Zn (0.614, 0.114, 0.000)
Zn (0.386, 0.886, 0.000)
Zn (0.114, 0.386, 0.000)
Sr (0.319, 0.181, 0.500)
Sr (0.819, 0.319, 0.500)
Sr (0.681, 0.819, 0.500)
Sr (0.181, 0.681, 0.500)
Mg (0.000, 0.000, 0.000)
Mg (0.500, 0.500, 0.000)


The following is a PBE-GGA calculation of a geometry-optimized CrFePt2 structure, from the Alexandria database.

Computed properties:
Space-group type ... No. 38
Formation enthalpy at 0 K ... -0.14 eV/atom
Total magnetization ... 0.6 Bohr magnetons per cell
Calculated total energy ... -30.74 eV per cell
Crystal system ... orthorhombic

abc: 4.122 2.723 5.170
angles: 74.75 90.00 90.00
Atoms (fractional coordinates):
Pt (0.500, 0.294, 0.286)
Pt (0.000, 0.956, 0.963)
Fe (0.500, 0.561, 0.754)
Cr (0.000, 0.689, 0.497)